Entry from OQMD: a relaxed Sn3Ir2W2 crystal (PBE-GGA).

Values from the calculation:
Magnetic moment   0.40 μB per atom
Calculated total energy   -7.22 eV/atom

CIF file:
```
data_Sn3Ir2W2
_chemical_formula_sum 'Sn3 Ir2 W2'
_symmetry_space_group_name_H-M 'P 1'
_symmetry_Int_Tables_number 1
_cell_length_a 8.019
_cell_length_b 8.019
_cell_length_c 8.019
_cell_angle_alpha 32.85
_cell_angle_beta 32.85
_cell_angle_gamma 32.85
loop_
_symmetry_equiv_pos_as_xyz
'x,y,z'
loop_
_atom_site_label
_atom_site_fract_x
_atom_site_fract_y
_atom_site_fract_z
Ir1 0.249 0.249 0.249
Ir2 0.746 0.746 0.746
Sn1 0.384 0.384 0.384
Sn2 0.625 0.625 0.625
Sn3 0.866 0.866 0.866
W1 0.004 0.004 0.004
W2 0.502 0.502 0.502
```